Entry 1:
## SrAl2Cr (PBE-GGA)

Data for crystalline SrAl2Cr at its relaxed geometry.

The size of the total moment comes out at 3.7 μB per cell. Its energy above the most stable polymorph in this dataset is 1.019 eV/f.u. The density of states at the Fermi level comes out at 2.9 states/eV/cell. The formation energy is 0.2563 eV/atom.

abc: 3.381 3.381 7.719
angles: 90.00 90.00 90.00
Space group P4mm (No. 99)
Unique sites:
Sr 0.000 0.000 0.000 (multiplicity 1)
Al 0.000 0.000 0.519 (multiplicity 1)
Al 0.500 0.500 0.320 (multiplicity 1)
Cr 0.500 0.500 0.680 (multiplicity 1)

***

Entry 2:
## ZrScCu (PBE-GGA)

Data for crystalline ZrScCu at its relaxed geometry.

The size of the total moment comes out at 0.0 μB per cell. Its energy above the most stable polymorph in this dataset is 0.298 eV/f.u. The density of states at the Fermi level comes out at 17.5 states/eV/cell. The formation energy is -0.0526 eV/atom.

abc: 3.419 11.863 6.071
angles: 90.00 90.00 90.00
Space group Cmc2_1 (No. 36)
Unique sites:
Zr 0.000 0.021 0.000 (multiplicity 4)
Sc 0.000 0.301 0.210 (multiplicity 4)
Cu 0.000 0.376 0.768 (multiplicity 4)

***

Entry 3:
## NdYSiGe (PBE-GGA)

Data for crystalline NdYSiGe at its relaxed geometry.

The size of the total moment comes out at 0.0 μB per cell. The calculation puts the final energy at -49.11 eV for the cell shown. The density of states at the Fermi level comes out at 5.7 states/eV/cell.

abc: 3.962 4.390 10.849
angles: 90.00 90.00 90.00
Space group Amm2 (No. 38)
Unique sites:
Nd 0.000 0.000 0.000 (multiplicity 2)
Y 0.500 0.000 0.278 (multiplicity 2)
Si 0.000 0.000 0.721 (multiplicity 2)
Ge 0.500 0.000 0.564 (multiplicity 2)

***

Entry 4:
## VInMo2 (PBE-GGA)

Data for crystalline VInMo2 at its relaxed geometry.

The size of the total moment comes out at 4.5 μB per cell. The density of states at the Fermi level comes out at 18.9 states/eV/cell. The formation energy is 0.7925 eV/atom.

abc: 3.827 3.827 19.623
angles: 90.00 90.00 90.00
Space group I-42d (No. 122)
Unique sites:
V 0.000 0.000 0.000 (multiplicity 4)
In 0.000 0.000 0.500 (multiplicity 4)
Mo 0.227 0.250 0.125 (multiplicity 8)

***

Entry 5:
## TbAl6Pt3 (PBE-GGA)

Data for crystalline TbAl6Pt3 at its relaxed geometry.

The size of the total moment comes out at 0.0 μB per cell. The density of states at the Fermi level comes out at 4.4 states/eV/cell. The formation energy is -0.7897 eV/atom.

abc: 8.094 4.144 10.649
angles: 90.00 96.73 90.00
Space group P2_1/m (No. 11)
Unique sites:
Tb 0.012 0.250 0.272 (multiplicity 2)
Al 0.065 0.250 0.939 (multiplicity 2)
Al 0.209 0.750 0.449 (multiplicity 2)
Al 0.267 0.750 0.194 (multiplicity 2)
Al 0.340 0.750 0.731 (multiplicity 2)
Al 0.416 0.250 0.060 (multiplicity 2)
Al 0.443 0.250 0.581 (multiplicity 2)
Pt 0.128 0.250 0.563 (multiplicity 2)
Pt 0.264 0.750 0.955 (multiplicity 2)
Pt 0.375 0.250 0.335 (multiplicity 2)

***

Entry 6:
## KCaMg (PBE-GGA)

Data for crystalline KCaMg at its relaxed geometry.

The size of the total moment comes out at 0.0 μB per cell. The density of states at the Fermi level comes out at 14.4 states/eV/cell. The formation energy is 0.0813 eV/atom.

abc: 4.222 4.222 30.193
angles: 90.00 90.00 90.00
Space group I4/mmm (No. 139)
Unique sites:
K 0.000 0.000 0.073 (multiplicity 4)
Ca 0.000 0.000 0.211 (multiplicity 4)
Mg 0.000 0.000 0.342 (multiplicity 4)

***

Entry 7:
## Ho7PdI12 (PBE-GGA)

Data for crystalline Ho7PdI12 at its relaxed geometry.

The size of the total moment comes out at 1.7 μB per cell. The calculation puts the final energy at -238.96 eV for the cell shown. The density of states at the Fermi level comes out at 15.9 states/eV/cell.

abc: 15.6805 15.6805 10.6862
angles: 90.00 90.00 120.00
Space group R-3 (No. 148, hexagonal axes)
Unique sites:
Ho 0.0000 0.0000 0.0000 (multiplicity 3)
Ho 0.0438 0.1582 0.3548 (multiplicity 18)
Pd 0.0000 0.0000 0.5000 (multiplicity 3)
I 0.0189 0.5846 0.1582 (multiplicity 18)
I 0.0511 0.1808 0.8400 (multiplicity 18)

***

Entry 8:
## La3PmYEr (PBE-GGA)

Data for crystalline La3PmYEr at its relaxed geometry.

The size of the total moment comes out at 0.0 μB per cell. The density of states at the Fermi level comes out at 22.0 states/eV/cell. The formation energy is 0.0303 eV/atom.

abc: 8.117 5.219 10.406
angles: 90.00 108.73 90.00
Space group P2_1/m (No. 11)
Unique sites:
La 0.167 0.250 0.044 (multiplicity 2)
La 0.170 0.250 0.540 (multiplicity 2)
La 0.171 0.750 0.791 (multiplicity 2)
Pm 0.171 0.750 0.294 (multiplicity 2)
Y 0.497 0.750 0.127 (multiplicity 2)
Er 0.500 0.250 0.378 (multiplicity 2)

***

Entry 9:
## Tb4CeAs5 (PBE-GGA)

Data for crystalline Tb4CeAs5 at its relaxed geometry.

The size of the total moment comes out at 0.9 μB per cell. The density of states at the Fermi level comes out at 11.8 states/eV/cell. The formation energy is -1.5222 eV/atom.

abc: 9.281 9.281 5.872
angles: 90.00 90.00 90.00
Space group I4/m (No. 87)
Unique sites:
Tb 0.100 0.699 0.000 (multiplicity 8)
Ce 0.000 0.000 0.500 (multiplicity 2)
As 0.000 0.000 0.000 (multiplicity 2)
As 0.100 0.700 0.500 (multiplicity 8)

***

Entry 10:
## LaPm2Pr5 (PBE-GGA)

Data for crystalline LaPm2Pr5 at its relaxed geometry.

The size of the total moment comes out at 0.0 μB per cell. The density of states at the Fermi level comes out at 26.7 states/eV/cell. The formation energy is 0.0124 eV/atom.

abc: 7.400 14.801 5.246
angles: 90.00 90.00 90.00
Space group Pbam (No. 55)
Unique sites:
La 0.000 0.000 0.000 (multiplicity 2)
Pm 0.250 0.125 0.500 (multiplicity 4)
Pr 0.000 0.251 0.000 (multiplicity 4)
Pr 0.000 0.500 0.000 (multiplicity 2)
Pr 0.250 0.375 0.500 (multiplicity 4)

***

Entry 11:
## Tb5PmSmTm2 (PBE-GGA)

Data for crystalline Tb5PmSmTm2 at its relaxed geometry.

The size of the total moment comes out at 0.0 μB per cell. The density of states at the Fermi level comes out at 56.3 states/eV/cell. The formation energy is 0.1579 eV/atom.

abc: 5.609 19.909 10.571
angles: 90.00 90.00 90.00
Space group Cmc2_1 (No. 36)
Unique sites:
Tb 0.000 0.017 0.000 (multiplicity 4)
Tb 0.000 0.281 0.285 (multiplicity 4)
Tb 0.000 0.299 0.683 (multiplicity 4)
Tb 0.000 0.391 0.999 (multiplicity 4)
Tb 0.000 0.478 0.712 (multiplicity 4)
Pm 0.000 0.416 0.425 (multiplicity 4)
Sm 0.000 0.200 0.987 (multiplicity 4)
Tm 0.000 0.110 0.711 (multiplicity 4)
Tm 0.000 0.114 0.295 (multiplicity 4)

***

Entry 12:
## Ba2CaAl (PBE-GGA)

Data for crystalline Ba2CaAl at its relaxed geometry.

The size of the total moment comes out at 0.0 μB per cell. The density of states at the Fermi level comes out at 3.7 states/eV/cell. The formation energy is -0.0285 eV/atom.

abc: 4.186 4.186 10.027
angles: 90.00 90.00 90.00
Space group P4/mmm (No. 123)
Unique sites:
Ba 0.000 0.000 0.195 (multiplicity 2)
Ca 0.500 0.500 0.500 (multiplicity 1)
Al 0.500 0.500 0.000 (multiplicity 1)